<one>
The following is a GGA-PBE calculation of SrBeRe3 after structural relaxation, from Alexandria via LeMat-Bulk.

a b c (Å): 4.402 4.402 4.402
angles (deg): 90.00 90.00 90.00
Fractional coordinates of all 5 atoms:
Sr  0.000  0.000  0.000
Be  0.500  0.500  0.500
Re  0.000  0.500  0.500
Re  0.500  0.000  0.500
Re  0.500  0.500  0.000

Values from the calculation:
Total magnetization = 0.00 μB/f.u.
V = 17.061 Å³/atom



<two>
The following is a GGA-PBE calculation of SrBeRe3 after structural relaxation, from Alexandria via LeMat-Bulk.

a b c (Å): 4.789 4.789 4.789
angles (deg): 90.00 90.00 90.00
Fractional coordinates of all 5 atoms:
Sr  0.000  0.000  0.000
Be  0.500  0.500  0.500
Re  0.000  0.000  0.500
Re  0.000  0.500  0.000
Re  0.500  0.000  0.000

Values from the calculation:
Total magnetization = 2.44 μB/f.u.
V = 21.961 Å³/atom



Comparing the structures above, <one> comes out on top by 2840 meV per atom.